Compound: CaMn3Br
Source: Alexandria
Functional: PBE
Structure: relaxed

Unit cell a=4.7295 b=4.7295 c=4.7295 alpha=90.00 beta=90.00 gamma=90.00
Closest atoms and distances in Å follow each position.
Space group Pm-3m (No. 221)
Asymmetric unit:
Ca 0.0000 0.0000 0.0000 (multiplicity 1)  12 Mn 3.34
Mn 0.0000 0.5000 0.5000 (multiplicity 3)  2 Br 2.36
Br 0.5000 0.5000 0.5000 (multiplicity 1)  6 Mn 2.36

Results
The calculation puts the formation energy without anion corrections at 3.946 eV per formula unit. As for the polymorph energy (0 for the lowest one): 0.00 eV per formula unit.

---

Compound: BOsS3
Source: Alexandria
Functional: PBE
Structure: relaxed

Unit cell a=4.0197 b=4.0197 c=4.0197 alpha=90.00 beta=90.00 gamma=90.00
Closest atoms and distances in Å follow each position.
Space group Pm-3m (No. 221)
Asymmetric unit:
B 0.0000 0.0000 0.0000 (multiplicity 1)  6 S 2.01
Os 0.5000 0.5000 0.5000 (multiplicity 1)  12 S 2.84
S 0.0000 0.0000 0.5000 (multiplicity 3)  2 B 2.01

Results
The calculation puts the formation energy without anion corrections at 5.473 eV per formula unit. As for the polymorph energy (0 for the lowest one): 0.00 eV per formula unit.

---

Compound: BaZrSiF2
Source: Alexandria
Functional: PBE
Structure: relaxed

Unit cell a=4.6268 b=4.6268 c=9.0403 alpha=90.00 beta=90.00 gamma=90.00
Closest atoms and distances in Å follow each position.
Space group P4/mmm (No. 123)
Asymmetric unit:
Ba 0.0000 0.0000 0.0000 (multiplicity 1)  4 F 2.31
Zr 0.0000 0.0000 0.5000 (multiplicity 1)  4 Si 3.27
Si 0.5000 0.5000 0.5000 (multiplicity 1)  4 Zr 3.27
F 0.0000 0.5000 0.0000 (multiplicity 2)  2 Ba 2.31

Results
The calculation puts the formation energy without anion corrections at -5.074 eV per formula unit.

---

Compound: NdHoCl
Source: Alexandria
Functional: PBE
Structure: relaxed

Unit cell a=3.7064 b=3.7064 c=7.1933 alpha=90.00 beta=90.00 gamma=120.00
Closest atoms and distances in Å follow each position.
Space group P3m1 (No. 156)
Asymmetric unit:
Nd 0.0000 0.0000 0.0000 (multiplicity 1)  3 Cl 3.19, 3 Ho 3.48
Ho 0.3333 0.6667 0.6182 (multiplicity 1)  3 Cl 2.99
Cl 0.6667 0.3333 0.3285 (multiplicity 1)  3 Ho 2.99, 3 Nd 3.19

Results
The calculation puts the formation energy without anion corrections at -2.702 eV per formula unit. As for the polymorph energy (0 for the lowest one): 0.00 eV per formula unit.

---

Compound: SrPrBi2
Source: Alexandria
Functional: PBE
Structure: relaxed

Unit cell a=4.3131 b=4.3131 c=7.2298 alpha=90.00 beta=90.00 gamma=90.00
Closest atoms and distances in Å follow each position.
Space group P4/mmm (No. 123)
Asymmetric unit:
Sr 0.0000 0.0000 0.0000 (multiplicity 1)  8 Bi 3.60, 2 Pr 3.61
Pr 0.0000 0.0000 0.5000 (multiplicity 1)  8 Bi 3.49, 2 Sr 3.61
Bi 0.5000 0.5000 0.2654 (multiplicity 2)  1 Bi 3.39, 4 Pr 3.49, 4 Sr 3.60

Results
The formation energy comes out at -0.745 eV/atom. As for the polymorph energy (0 for the lowest one): 0.23 eV per formula unit.

---

Compound: Ni3Pt4Rh2
Source: Alexandria
Functional: PBE
Structure: relaxed

Unit cell a=11.5351 b=3.7758 c=6.0962 alpha=90.00 beta=108.64 gamma=90.00
Closest atoms and distances in Å follow each position.
Space group C2/m (No. 12)
Asymmetric unit:
Ni 0.0000 0.0000 0.0000 (multiplicity 2)  6 Pt 2.67-2.72, 4 Rh 2.69, 2 Ni 2.70
Ni 0.1101 0.0000 0.6702 (multiplicity 4)  7 Pt 2.64-2.79, 3 Rh 2.67-2.72, 2 Ni 2.70-2.72
Pt 0.0498 0.5000 0.3266 (multiplicity 4)  2 Rh 2.64-2.74, 6 Ni 2.64-2.74, 4 Pt 2.71-2.77
Pt 0.2244 0.0000 0.3302 (multiplicity 4)  4 Ni 2.69-2.79, 3 Rh 2.69, 5 Pt 2.72-2.77
Rh 0.1661 0.5000 0.9980 (multiplicity 4)  5 Pt 2.64-2.74, 5 Ni 2.67-2.72, 2 Rh 2.70

Results
The formation energy comes out at -0.041 eV/atom. As for the polymorph energy (0 for the lowest one): 0.00 eV per formula unit.

---

Compound: Ac4InRhBr2
Source: Alexandria
Functional: PBE
Structure: relaxed

Unit cell a=8.3045 b=4.4034 c=8.5817 alpha=90.00 beta=109.03 gamma=90.00
Closest atoms and distances in Å follow each position.
Space group P2/m (No. 10)
Asymmetric unit:
Ac 0.2152 0.0000 0.2898 (multiplicity 2)  1 Rh 2.92
Ac 0.2240 0.5000 0.7023 (multiplicity 2)  2 Rh 3.04, 1 In 3.30
In 0.5000 0.5000 0.5000 (multiplicity 1)  6 Ac 3.30
Rh 0.0000 0.0000 0.5000 (multiplicity 1)  6 Ac 2.92-3.04
Br 0.0000 0.5000 0.0000 (multiplicity 1)  6 Ac 3.37-3.62
Br 0.5000 0.0000 0.0000 (multiplicity 1)  6 Ac 3.58-3.95

Results
The calculation puts the formation energy without anion corrections at -7.417 eV per formula unit.

---

Compound: SrOsSN2
Source: Alexandria
Functional: PBE
Structure: relaxed

Unit cell a=4.2219 b=4.2219 c=5.8140 alpha=90.00 beta=90.00 gamma=90.00
Closest atoms and distances in Å follow each position.
Space group P4/mmm (No. 123)
Asymmetric unit:
Sr 0.0000 0.0000 0.0000 (multiplicity 1)  4 N 2.11
Os 0.5000 0.5000 0.5000 (multiplicity 1)  4 S 2.99
S 0.0000 0.0000 0.5000 (multiplicity 1)  2 Sr 2.91, 4 Os 2.99
N 0.0000 0.5000 0.0000 (multiplicity 2)  2 Sr 2.11

Results
The calculation puts the formation energy without anion corrections at 12.891 eV per formula unit. As for the polymorph energy (0 for the lowest one): 13.98 eV per formula unit.

---

Compound: BaSr4Ni
Source: Alexandria
Functional: PBE
Structure: relaxed

Unit cell a=10.7464 b=10.7464 c=10.7464 alpha=90.00 beta=90.00 gamma=90.00
Closest atoms and distances in Å follow each position.
Space group F-43m (No. 216)
Asymmetric unit:
Ba 0.0000 0.0000 0.0000 (multiplicity 4)  12 Sr 4.46, 4 Ni 4.65
Sr 0.1247 0.1247 0.3753 (multiplicity 16)  6 Sr 3.79-3.81
Ni 0.2500 0.2500 0.7500 (multiplicity 4)  12 Sr 4.45, 4 Ba 4.65

Results
The formation energy comes out at 0.647 eV/atom. As for the polymorph energy (0 for the lowest one): 3.96 eV per formula unit.

---

Compound: K3Bi3Pd2
Source: Alexandria
Functional: PBE
Structure: relaxed

Unit cell a=4.4213 b=13.9625 c=17.7859 alpha=90.00 beta=90.00 gamma=90.00
Closest atoms and distances in Å follow each position.
Space group Cmcm (No. 63)
Asymmetric unit:
K 0.0000 0.0333 0.2500 (multiplicity 4)  2 Pd 3.14
K 0.0000 0.1539 0.0593 (multiplicity 8)  6 Bi 3.69-3.97, 3 K 3.79-4.07, 3 Pd 3.85-3.95
Bi 0.0000 0.2859 0.2500 (multiplicity 4)  4 Pd 2.80
Bi 0.0000 0.4223 0.0959 (multiplicity 8)  2 Pd 2.78
Pd 0.0000 0.1626 0.6627 (multiplicity 8)  4 Bi 2.78-2.80, 1 Pd 3.11

Results
The formation energy comes out at -0.308 eV/atom. As for the polymorph energy (0 for the lowest one): 0.02 eV per formula unit.

---

Compound: LaHo5In3
Source: Alexandria
Functional: PBE
Structure: relaxed

Unit cell a=9.3771 b=9.3771 c=6.7601 alpha=90.00 beta=90.00 gamma=120.00
Closest atoms and distances in Å follow each position.
Space group P6_3/mcm (No. 193)
Asymmetric unit:
La 0.0000 0.0000 0.0000 (multiplicity 2)  2 La 3.38, 6 Ho 3.52, 6 In 3.63
Ho 0.0000 0.3299 0.2500 (multiplicity 6)  5 In 3.08-3.38
Ho 0.3333 0.6667 0.0000 (multiplicity 4)  8 Ho 3.38-3.57, 6 In 3.52
In 0.0000 0.3421 0.7500 (multiplicity 6)  5 Ho 3.08-3.38

Results
The formation energy comes out at -0.346 eV/atom.

---

Compound: Tl5SF2
Source: Alexandria
Functional: PBE
Structure: relaxed

Unit cell a=6.1210 b=6.4088 c=6.5396 alpha=72.47 beta=69.56 gamma=76.45
Closest atoms and distances in Å follow each position.
Space group P1 (No. 1)
Asymmetric unit:
Tl 0.0000 0.0000 0.0000 (multiplicity 1)  1 F 2.50
Tl 0.0030 0.2902 0.4053 (multiplicity 1)  1 F 2.53
Tl 0.4118 0.7453 0.3755 (multiplicity 1)  2 F 2.55-2.64
Tl 0.4662 0.2585 0.8700 (multiplicity 1)  1 F 2.52
Tl 0.7539 0.6941 0.7914 (multiplicity 1)  2 F 2.51-2.78
S 0.6296 0.3366 0.2109 (multiplicity 1)  5 Tl 2.90-3.00
F 0.0081 0.6982 0.3460 (multiplicity 1)  4 Tl 2.50-2.78
F 0.1777 0.5987 0.7840 (multiplicity 1)  3 Tl 2.51-2.55

Results
The calculation puts the formation energy without anion corrections at -7.183 eV per formula unit.